Entry 1:
A plane-wave DFT calculation with PBE was carried out for LiPrDyHg after structural relaxation.

Formation enthalpy at 0 K = -77 kJ/mol of formula units

a b c (Å): 5.330 5.330 5.330
angles (deg): 60.00 60.00 60.00
Element x y z (fractional)
Pr1 0.250 0.250 0.250
Li1 0.000 0.000 0.000
Dy1 0.750 0.750 0.750
Hg1 0.500 0.500 0.500

Entry 2:
A plane-wave DFT calculation with PBE was carried out for LiDy2PuHg4 after structural relaxation.

Formation enthalpy at 0 K = -265 kJ/mol of formula units

a b c (Å): 5.172 5.172 9.031
angles (deg): 73.36 73.36 60.00
Element x y z (fractional)
Hg1 0.873 0.873 0.382
Dy1 0.752 0.752 0.743
Li1 0.500 0.500 0.500
Dy2 0.248 0.248 0.257
Pu1 0.000 0.000 0.000
Hg2 0.127 0.127 0.618
Hg3 0.381 0.381 0.857
Hg4 0.619 0.619 0.143

Entry 3:
A plane-wave DFT calculation with PBE was carried out for LiDyHgRh after structural relaxation.

Formation enthalpy at 0 K = -169 kJ/mol of formula units

a b c (Å): 4.752 4.752 4.752
angles (deg): 60.00 60.00 60.00
Element x y z (fractional)
Hg1 0.250 0.250 0.250
Dy1 0.750 0.750 0.750
Li1 0.000 0.000 0.000
Rh1 0.500 0.500 0.500

Entry 4:
A plane-wave DFT calculation with PBE was carried out for LiDyHgSb after structural relaxation.

Energy relative to the elements, uncorrected = -0.543 eV per atom

a b c (Å): 5.130 5.130 5.130
angles (deg): 60.00 60.00 60.00
Element x y z (fractional)
Hg1 0.500 0.500 0.500
Li1 0.750 0.750 0.750
Dy1 0.250 0.250 0.250
Sb1 0.000 0.000 0.000

Entry 5:
A plane-wave DFT calculation with PBE was carried out for LiDyScHg after structural relaxation.

Formation enthalpy at 0 K = -78 kJ/mol of formula units

a b c (Å): 5.075 5.075 5.075
angles (deg): 60.00 60.00 60.00
Element x y z (fractional)
Hg1 0.500 0.500 0.500
Sc1 0.250 0.250 0.250
Dy1 0.750 0.750 0.750
Li1 0.000 0.000 0.000

Entry 6:
A plane-wave DFT calculation with PBE was carried out for LiSmDyHg after structural relaxation.

Formation enthalpy at 0 K = -79 kJ/mol of formula units

a b c (Å): 5.275 5.275 5.275
angles (deg): 60.00 60.00 60.00
Element x y z (fractional)
Hg1 0.500 0.500 0.500
Li1 0.000 0.000 0.000
Sm1 0.250 0.250 0.250
Dy1 0.750 0.750 0.750

Entry 7:
A plane-wave DFT calculation with PBE was carried out for Li2SmDyHg4 after structural relaxation.

Formation enthalpy at 0 K = -343 kJ/mol of formula units

a b c (Å): 5.053 5.053 8.782
angles (deg): 73.28 73.28 60.00
Element x y z (fractional)
Hg1 0.126 0.126 0.621
Dy1 0.500 0.500 0.500
Li1 0.249 0.249 0.253
Hg2 0.874 0.874 0.379
Li2 0.751 0.751 0.747
Hg3 0.377 0.377 0.869
Sm1 0.000 0.000 0.000
Hg4 0.623 0.623 0.131

Entry 8:
A plane-wave DFT calculation with PBE was carried out for Li2DySn2Hg2 after structural relaxation.

Formation enthalpy at 0 K = -262 kJ/mol of formula units

a b c (Å): 4.663 4.663 8.808
angles (deg): 74.65 74.65 60.00
Element x y z (fractional)
Hg1 0.442 0.442 0.675
Li1 0.858 0.858 0.426
Dy1 0.000 0.000 0.000
Sn1 0.733 0.733 0.801
Hg2 0.558 0.558 0.325
Li2 0.142 0.142 0.574
Sn2 0.267 0.267 0.199

Entry 9:
A plane-wave DFT calculation with PBE was carried out for SrLiDyHg after structural relaxation.

Formation enthalpy at 0 K = -64 kJ/mol of formula units

a b c (Å): 5.440 5.440 5.440
angles (deg): 60.00 60.00 60.00
Element x y z (fractional)
Hg1 0.250 0.250 0.250
Li1 0.750 0.750 0.750
Sr1 0.000 0.000 0.000
Dy1 0.500 0.500 0.500

Entry 10:
A plane-wave DFT calculation with PBE was carried out for Li2TbDyHg4 after structural relaxation.

Formation enthalpy at 0 K = -341 kJ/mol of formula units

a b c (Å): 5.027 5.027 8.716
angles (deg): 73.24 73.24 60.00
Element x y z (fractional)
Hg1 0.624 0.624 0.127
Tb1 0.000 0.000 0.000
Hg2 0.125 0.125 0.625
Hg3 0.875 0.875 0.375
Li1 0.250 0.250 0.251
Hg4 0.376 0.376 0.873
Li2 0.750 0.750 0.749
Dy1 0.500 0.500 0.500

Entry 11:
A plane-wave DFT calculation with PBE was carried out for LiTbDyHg after structural relaxation.

Formation enthalpy at 0 K = -81 kJ/mol of formula units

a b c (Å): 5.232 5.232 5.232
angles (deg): 60.00 60.00 60.00
Element x y z (fractional)
Li1 0.750 0.750 0.750
Tb1 0.500 0.500 0.500
Hg1 0.250 0.250 0.250
Dy1 0.000 0.000 0.000

Entry 12:
A plane-wave DFT calculation with PBE was carried out for LiDy2ThHg4 after structural relaxation.

Formation enthalpy at 0 K = -283 kJ/mol of formula units

a b c (Å): 5.102 5.102 9.416
angles (deg): 74.28 74.28 60.00
Element x y z (fractional)
Hg1 0.383 0.383 0.851
Hg2 0.871 0.871 0.387
Dy1 0.757 0.757 0.730
Th1 0.000 0.000 0.000
Li1 0.500 0.500 0.500
Hg3 0.617 0.617 0.149
Dy2 0.243 0.243 0.270
Hg4 0.129 0.129 0.613